Version i
First-principles (GGA-PBE) data for GaBW after structural relaxation, as listed in OQMD via LeMat-Bulk.

Cell: 3.805 3.805 3.805 Å, 60.00 60.00 60.00°
Fractional positions:
Ga1 0.000 0.000 0.000
B1 0.250 0.250 0.250
W1 0.500 0.500 0.500

* magnetic moment: 0.0018 μB/atom
* calculated volume: 12.99 A^3/atom



Version ii
First-principles (GGA-PBE) data for GaBW after structural relaxation, as listed in OQMD via LeMat-Bulk.

Cell: 4.015 4.015 4.015 Å, 60.00 60.00 60.00°
Fractional positions:
Ga1 0.000 0.000 0.000
B1 0.500 0.500 0.500
W1 0.750 0.750 0.750

* magnetic moment: 0.0003 μB/atom
* calculated volume: 15.26 A^3/atom



Quick one: least stable of them? version ii



Version i
First-principles (GGA-PBE) data for ZrGaB after structural relaxation, as listed in OQMD via LeMat-Bulk.

Cell: 3.968 3.968 3.968 Å, 60.00 60.00 60.00°
Fractional positions:
Zr1 0.000 0.000 0.000
Ga1 0.500 0.500 0.500
B1 0.750 0.750 0.750

* magnetic moment: 0.0000 μB/atom
* calculated volume: 14.72 A^3/atom



Version ii
First-principles (GGA-PBE) data for ZrGaB after structural relaxation, as listed in OQMD via LeMat-Bulk.

Cell: 4.228 4.228 4.228 Å, 60.00 60.00 60.00°
Fractional positions:
Zr1 0.000 0.000 0.000
Ga1 0.250 0.250 0.250
B1 0.750 0.750 0.750

* magnetic moment: 0.0000 μB/atom
* calculated volume: 17.81 A^3/atom



Quick one: least stable of them? version ii